(1)
DFT (GGA-PBE) results for crystalline AcNd2Dy2Tm2 at its relaxed geometry.

Unit cell a=11.4141 b=5.1544 c=8.1462 alpha=90.00 beta=98.30 gamma=90.00
Space group C2/m (No. 12)
Inequivalent atoms, fractional coordinates:
Ac  0.0000  0.0000  0.0000
Nd  0.0745  0.5000  0.7096
Dy  0.2143  0.5000  0.1516
Tm  0.1433  0.0000  0.4344

M_tot   0.00 μB/cell
Raw total energy   -4.50 eV/atom
Formation enthalpy at 0 K   42 meV per atom
Crystal system   monoclinic


(2)
DFT (GGA-PBE) results for crystalline Rb3BaHg2F9 at its relaxed geometry.

Unit cell a=6.6019 b=6.6019 c=8.7707 alpha=90.00 beta=90.00 gamma=120.00
Space group P-3m1 (No. 164)
Inequivalent atoms, fractional coordinates:
Rb  0.0000  0.0000  0.0000
Rb  0.3333  0.6667  0.7478
Ba  0.0000  0.0000  0.5000
Hg  0.3333  0.6667  0.1634
F  0.0000  0.5000  0.0000
F  0.1639  0.3278  0.3014

M_tot   0.00 μB/cell
Raw total energy   -3.90 eV/atom
Energy relative to the elements, uncorrected   -2.420 eV per atom
Crystal system   trigonal


(3)
DFT (GGA-PBE) results for crystalline Na2PbO2 at its relaxed geometry.

Unit cell a=12.7383 b=3.9686 c=8.8897 alpha=90.00 beta=100.05 gamma=90.00
Space group C2/m (No. 12)
Inequivalent atoms, fractional coordinates:
Na  0.0426  0.0000  0.2321
Na  0.1612  0.5000  0.0181
Pb  0.1729  0.5000  0.6571
O  0.0462  0.5000  0.7814
O  0.2036  0.0000  0.1507

M_tot   0.00 μB/cell
Raw total energy   -4.44 eV/atom
Excess energy over the best structure of this formula in the dataset   121.0 meV per atom
Energy relative to the elements, uncorrected   -1.185 eV per atom
Crystal system   monoclinic


Look up the raw total energy of the first one. -4.50 eV/atom